No. 1
This record from the Alexandria database describes VCrSe2 after structural relaxation. The functional is PBE.

Computed properties:
DOS at the Fermi energy: 0.368 states/eV/atom
crystal system: trigonal
energy relative to the lowest polymorph listed for this composition: 112 meV/atom
calculated density: 5.56 Mg/m³
uncorrected formation energy: -0.1411 eV/atom

a b c (Å): 3.3200 3.3200 24.5066
angles (deg): 90.00 90.00 120.00
Space group R-3m (No. 166, hexagonal axes)
Asymmetric unit:
V 0.0000 0.0000 0.0000 [3 per cell]
Cr 0.0000 0.0000 0.5000 [3 per cell]
Se 0.0000 0.0000 0.3980 [6 per cell]

No. 2
This record from the Alexandria database describes In2ICl after structural relaxation. The functional is PBE.

Computed properties:
DOS at the Fermi energy: 0.000 states/eV/atom
crystal system: tetragonal
energy relative to the lowest polymorph listed for this composition: 75 meV/atom
calculated density: 3.12 Mg/m³
uncorrected formation energy: -0.5428 eV/atom

a b c (Å): 7.546 7.546 14.636
angles (deg): 90.00 90.00 90.00
Space group I-42d (No. 122)
Asymmetric unit:
In 0.212 0.250 0.125 [8 per cell]
I 0.000 0.000 0.500 [4 per cell]
Cl 0.000 0.000 0.000 [4 per cell]

No. 3
This record from the Alexandria database describes RbTaBi2 after structural relaxation. The functional is PBE.

Computed properties:
ΔE_f: 0.705 eV per atom
DOS at the Fermi energy: 1.107 states/eV/atom
crystal system: cubic
energy relative to the lowest polymorph listed for this composition: 311 meV/atom
calculated density: 10.02 Mg/m³

a b c (Å): 7.683 7.683 7.683
angles (deg): 90.00 90.00 90.00
Space group Fm-3m (No. 225)
Asymmetric unit:
Rb 0.000 0.000 0.000 [4 per cell]
Ta 0.000 0.000 0.500 [4 per cell]
Bi 0.250 0.250 0.250 [8 per cell]

No. 4
This record from the Alexandria database describes TeAs2Cl after structural relaxation. The functional is PBE.

Computed properties:
DOS at the Fermi energy: 0.628 states/eV/atom
crystal system: orthorhombic
energy relative to the lowest polymorph listed for this composition: 494 meV/atom
calculated density: 5.66 Mg/m³
uncorrected formation energy: 0.3568 eV/atom

a b c (Å): 3.589 4.700 10.882
angles (deg): 90.00 90.00 90.00
Space group Immm (No. 71)
Asymmetric unit:
Te 0.000 0.000 0.000 [2 per cell]
As 0.000 0.500 0.285 [4 per cell]
Cl 0.000 0.000 0.500 [2 per cell]

No. 5
This record from the Alexandria database describes Rb2ZrAgBr6 after structural relaxation. The functional is PBE.

Computed properties:
DOS at the Fermi energy: 0.587 states/eV/atom
crystal system: trigonal
energy relative to the lowest polymorph listed for this composition: 0 meV/atom
calculated density: 4.07 Mg/m³
uncorrected formation energy: -1.2674 eV/atom

a b c (Å): 7.8289 7.8289 39.2003
angles (deg): 90.00 90.00 120.00
Space group R-3m (No. 166, hexagonal axes)
Asymmetric unit:
Rb 0.0000 0.0000 0.1257 [6 per cell]
Rb 0.0000 0.0000 0.2965 [6 per cell]
Zr 0.0000 0.0000 0.0000 [3 per cell]
Zr 0.0000 0.0000 0.5000 [3 per cell]
Ag 0.0000 0.0000 0.4178 [6 per cell]
Br 0.0054 0.5027 0.8714 [18 per cell]
Br 0.0069 0.5035 0.7068 [18 per cell]

No. 6
This record from the Alexandria database describes PrTh3Se4 after structural relaxation. The functional is PBE.

Computed properties:
DOS at the Fermi energy: 0.571 states/eV/atom
crystal system: tetragonal
calculated density: 9.04 Mg/m³
uncorrected formation energy: -1.6159 eV/atom

a b c (Å): 5.964 5.964 11.911
angles (deg): 90.00 90.00 90.00
Space group I4/mmm (No. 139)
Asymmetric unit:
Pr 0.000 0.000 0.000 [2 per cell]
Th 0.000 0.000 0.500 [2 per cell]
Th 0.000 0.500 0.250 [4 per cell]
Se 0.000 0.000 0.250 [4 per cell]
Se 0.000 0.500 0.000 [4 per cell]

No. 7
This record from the Alexandria database describes RuW2Au after structural relaxation. The functional is PBE.

Computed properties:
ΔE_f: 0.300 eV per atom
DOS at the Fermi energy: 1.018 states/eV/atom
crystal system: tetragonal
energy relative to the lowest polymorph listed for this composition: 118 meV/atom
calculated density: 17.12 Mg/m³

a b c (Å): 3.294 3.294 5.950
angles (deg): 90.00 90.00 90.00
Space group P4mm (No. 99)
Asymmetric unit:
Ru 0.000 0.000 0.000 [1 per cell]
W 0.000 0.000 0.461 [1 per cell]
W 0.500 0.500 0.213 [1 per cell]
Au 0.500 0.500 0.727 [1 per cell]

No. 8
This record from the Alexandria database describes Hf6TiCo after structural relaxation. The functional is PBE.

Computed properties:
ΔE_f: 0.005 eV per atom
DOS at the Fermi energy: 1.372 states/eV/atom
crystal system: monoclinic
calculated density: 12.15 Mg/m³

a b c (Å): 5.982 9.583 5.691
angles (deg): 90.00 99.40 90.00
Space group C2/m (No. 12)
Asymmetric unit:
Hf 0.111 0.221 0.266 [8 per cell]
Hf 0.245 0.000 0.936 [4 per cell]
Ti 0.000 0.500 0.500 [2 per cell]
Co 0.000 0.000 0.500 [2 per cell]